[1]
Computed, not measured: a relaxed structure of Fe3Si4Ir at the PBE-GGA level of DFT.

Lattice parameters (Å, degrees): 4.5553 4.5553 4.5553 89.97 89.97 89.97
Closest atoms and distances in Å follow each position.
Element x y z (fractional)
Fe1 0.0936 0.3162 0.5902  6 Si 2.31-2.57
Fe2 0.3162 0.5902 0.0936  6 Si 2.31-2.57
Fe3 0.5902 0.0936 0.3162  6 Si 2.31-2.57
Si1 0.1222 0.1222 0.1222  6 Fe 2.31-2.58, 1 Ir 2.40
Si2 0.2971 0.7898 0.5955  5 Fe 2.31-2.57, 1 Ir 2.41
Si3 0.5955 0.2971 0.7898  5 Fe 2.31-2.57, 1 Ir 2.41
Si4 0.7898 0.5955 0.2971  5 Fe 2.31-2.57, 1 Ir 2.41
Ir1 0.8179 0.8179 0.8179  7 Si 2.40-2.58

Computed properties:
**Uncorrected formation energy**: -0.5136 eV per atom
**Magnetic moment**: 2.42 μB/f.u.
**DOS at the Fermi energy**: 7.69 states/eV/cell
**Final energy**: -7.506 eV per atom


[2]
Computed, not measured: a relaxed structure of FeSi4Ir at the PBE-GGA level of DFT.

Lattice parameters (Å, degrees): 4.8516 4.8516 4.8516 60.00 60.00 60.00
Closest atoms and distances in Å follow each position.
Element x y z (fractional)
Fe1 0.0000 0.0000 0.0000  12 Si 2.84, 4 Ir 2.97
Si1 0.3748 0.3748 0.3748  6 Si 2.42-2.43
Si2 0.3748 0.3748 0.8755  6 Si 2.42-2.43
Si3 0.3748 0.8755 0.3748  6 Si 2.42-2.43
Si4 0.8755 0.3748 0.3748  6 Si 2.42-2.43
Ir1 0.7500 0.7500 0.7500  12 Si 2.84, 4 Fe 2.97

Computed properties:
**Uncorrected formation energy**: 0.5075 eV per atom
**Magnetic moment**: 2.10 μB/f.u.
**DOS at the Fermi energy**: 4.18 states/eV/cell
**Final energy**: -5.995 eV per atom


[3]
Computed, not measured: a relaxed structure of Fe2SiIr at the PBE-GGA level of DFT.

Lattice parameters (Å, degrees): 2.6923 2.6923 7.8271 90.00 90.00 113.47
Closest atoms and distances in Å follow each position.
Element x y z (fractional)
Fe1 0.0000 0.0000 0.0000  6 Fe 2.43-2.69, 2 Ir 2.64
Fe2 0.5000 0.5000 0.2460  2 Si 2.33, 2 Fe 2.43
Si1 0.0000 0.0000 0.4756  2 Fe 2.33, 2 Ir 2.42
Ir1 0.5000 0.5000 0.7202  2 Si 2.42, 2 Fe 2.64, 4 Ir 2.69

Computed properties:
**Uncorrected formation energy**: 0.0056 eV per atom
**Magnetic moment**: 4.98 μB/f.u.
**DOS at the Fermi energy**: 3.16 states/eV/cell
**Final energy**: -7.797 eV per atom